No. 1
First-principles (PBE) data for a relaxed AcLaMgAl crystal, as listed in Alexandria.

Results
Crystal system   cubic
ΔH_f (0 K)   -0.19 eV/atom

a = 5.5837 Å, b = 5.5837 Å, c = 5.5837 Å
α = 60.00°, β = 60.00°, γ = 60.00°
Closest atoms and distances in Å follow each position.
Element x y z (fractional)
1 Ac 0.0000 0.0000 0.0000  4 Mg 3.42, 4 Al 3.42
2 La 0.5000 0.5000 0.5000  4 Mg 3.42, 4 Al 3.42
3 Mg 0.7500 0.7500 0.7500  4 La 3.42, 4 Ac 3.42
4 Al 0.2500 0.2500 0.2500  4 La 3.42, 4 Ac 3.42



No. 2
First-principles (PBE) data for a relaxed BeCuPd crystal, as listed in Alexandria.

Results
Relative energy among the computed polymorphs   0.1459 eV per atom
Crystal system   orthorhombic
ΔH_f (0 K)   -0.16 eV/atom

a = 4.4905 Å, b = 2.6940 Å, c = 6.0968 Å
α = 90.00°, β = 90.00°, γ = 90.00°
Closest atoms and distances in Å follow each position.
Element x y z (fractional)
1 Be 0.2500 0.0000 0.1514  2 Pd 2.33, 2 Cu 2.40
2 Be 0.7500 0.0000 0.8486  2 Pd 2.33, 2 Cu 2.40
3 Cu 0.0000 0.0000 0.5000  2 Cu 2.25, 2 Be 2.40
4 Cu 0.5000 0.0000 0.5000  2 Cu 2.25, 2 Be 2.40
5 Pd 0.2500 0.5000 0.8386  2 Be 2.33
6 Pd 0.7500 0.5000 0.1614  2 Be 2.33



No. 3
First-principles (PBE) data for a relaxed Sc2ReAg crystal, as listed in Alexandria.

Results
Crystal system   monoclinic
ΔH_f (0 K)   0.03 eV/atom

a = 5.3866 Å, b = 5.3866 Å, c = 4.9713 Å
α = 102.57°, β = 102.57°, γ = 32.60°
Closest atoms and distances in Å follow each position.
Element x y z (fractional)
1 Sc 0.0000 0.0000 0.0000  3 Ag 2.82-2.97, 4 Re 2.87-2.97, 2 Sc 3.02
2 Sc 0.2110 0.2110 0.6217  3 Re 2.81-2.93, 4 Ag 2.89-3.00, 2 Sc 3.02
3 Re 0.4755 0.4755 0.5002  7 Sc 2.81-2.97, 2 Ag 2.95, 2 Re 3.02
4 Ag 0.7535 0.7535 0.1547  7 Sc 2.82-3.00, 2 Re 2.95, 2 Ag 3.02



No. 4
First-principles (PBE) data for a relaxed Sm5Sb2Pt crystal, as listed in Alexandria.

Results
Uncorrected formation energy   -0.65 eV per atom
Crystal system   orthorhombic

a = 5.6821 Å, b = 5.6821 Å, c = 16.4923 Å
α = 90.00°, β = 90.00°, γ = 117.87°
Closest atoms and distances in Å follow each position.
Element x y z (fractional)
1 Sm 0.0768 0.9232 0.5983  1 Pt 2.84
2 Sm 0.0768 0.9232 0.9017  1 Pt 2.84
3 Sm 0.2436 0.7564 0.2500  2 Pt 2.96, 2 Sb 3.09
4 Sm 0.4121 0.5879 0.6134  1 Pt 2.97, 2 Sb 3.26-3.29, 1 Sm 3.27
5 Sm 0.4121 0.5879 0.8866  1 Pt 2.97, 2 Sb 3.26-3.29, 1 Sm 3.27
6 Sm 0.5879 0.4121 0.1134  1 Pt 2.97, 2 Sb 3.26-3.29, 1 Sm 3.27
7 Sm 0.5879 0.4121 0.3866  1 Pt 2.97, 2 Sb 3.26-3.29, 1 Sm 3.27
8 Sm 0.7564 0.2436 0.7500  2 Pt 2.96, 2 Sb 3.09
9 Sm 0.9232 0.0768 0.0983  1 Pt 2.84
10 Sm 0.9232 0.0768 0.4017  1 Pt 2.84
11 Sb 0.2613 0.7387 0.0628  7 Sm 3.09-3.38
12 Sb 0.2613 0.7387 0.4372  7 Sm 3.09-3.38
13 Sb 0.7387 0.2613 0.5628  7 Sm 3.09-3.38
14 Sb 0.7387 0.2613 0.9372  7 Sm 3.09-3.38
15 Pt 0.2141 0.7859 0.7500  6 Sm 2.84-2.97
16 Pt 0.7859 0.2141 0.2500  6 Sm 2.84-2.97